# 1
The following is a GGA-PBE calculation of a geometry-optimized PrSm3Au4 structure, from Alexandria via LeMat-Bulk.

The calculated formation energy comes out at -780 meV per atom. As for the space-group type: R-3m (166).

Cell lengths 5.224, 5.224, 9.056 Å; angles 73.24, 73.24, 60.00 degrees
Fractional positions:
Au1 0.127 0.127 0.619
Sm1 0.750 0.750 0.749
Au2 0.873 0.873 0.381
Au3 0.378 0.378 0.867
Pr1 0.000 0.000 0.000
Sm2 0.500 0.500 0.500
Au4 0.622 0.622 0.133
Sm3 0.250 0.250 0.251

---

# 2
The following is a GGA-PBE calculation of a geometry-optimized Pr2SmAu structure, from Alexandria via LeMat-Bulk.

The calculated formation energy comes out at -386 meV per atom. As for the space-group type: Pnma (62).

Cell lengths 6.787, 7.225, 10.322 Å; angles 90.00, 90.00, 90.00 degrees
Fractional positions:
Sm1 0.866 0.017 0.250
Sm2 0.366 0.483 0.750
Pr1 0.678 0.804 0.946
Sm3 0.134 0.983 0.750
Pr2 0.178 0.696 0.054
Au1 0.557 0.103 0.750
Au2 0.443 0.897 0.250
Pr3 0.322 0.196 0.054
Pr4 0.178 0.696 0.446
Sm4 0.634 0.517 0.250
Pr5 0.822 0.304 0.554
Pr6 0.678 0.804 0.554
Pr7 0.822 0.304 0.946
Pr8 0.322 0.196 0.446
Au3 0.943 0.603 0.750
Au4 0.057 0.397 0.250

---

# 3
The following is a GGA-PBE calculation of a geometry-optimized Pr2SmAu structure, from Alexandria via LeMat-Bulk.

The calculated formation energy comes out at -342 meV per atom. As for the space-group type: P4/mmm (123).

Cell lengths 3.764, 3.764, 8.674 Å; angles 90.00, 90.00, 90.00 degrees
Fractional positions:
Sm1 0.500 0.500 0.500
Pr1 0.000 0.000 0.210
Au1 0.500 0.500 0.000
Pr2 0.000 0.000 0.790

---

# 4
The following is a GGA-PBE calculation of a geometry-optimized Pr2SmAu3 structure, from Alexandria via LeMat-Bulk.

The calculated formation energy comes out at -640 meV per atom. As for the space-group type: Cmcm (63).

Cell lengths 4.681, 6.450, 11.155 Å; angles 90.00, 102.11, 90.00 degrees
Fractional positions:
Au1 0.262 0.250 0.524
Sm1 0.321 0.750 0.642
Sm2 0.679 0.250 0.358
Au2 0.431 0.467 0.863
Au3 0.738 0.750 0.476
Au4 0.569 0.967 0.137
Pr1 0.971 0.750 0.941
Pr2 0.029 0.250 0.059
Au5 0.431 0.033 0.863
Au6 0.569 0.533 0.137
Pr3 0.853 0.250 0.706
Pr4 0.147 0.750 0.294

---

# 5
The following is a GGA-PBE calculation of a geometry-optimized PrSmAu2 structure, from Alexandria via LeMat-Bulk.

The calculated formation energy comes out at -775 meV per atom. As for the space-group type: P4/mmm (123).

Cell lengths 3.698, 3.698, 7.458 Å; angles 90.00, 90.00, 90.00 degrees
Fractional positions:
Au1 0.000 0.000 0.236
Sm1 0.500 0.500 0.000
Pr1 0.500 0.500 0.500
Au2 0.000 0.000 0.764

---

# 6
The following is a GGA-PBE calculation of a geometry-optimized PrSmAu2 structure, from Alexandria via LeMat-Bulk.

The calculated formation energy comes out at -807 meV per atom. As for the space-group type: Pm (6).

Cell lengths 3.887, 4.790, 5.988 Å; angles 90.00, 109.02, 90.00 degrees
Fractional positions:
Sm1 0.720 0.000 0.978
Au1 0.170 0.500 0.879
Au2 0.997 0.000 0.533
Pr1 0.444 0.500 0.428